1.
# Pm2ScS3, relaxed, DFT PBE-GGA
# * density of states at the Fermi level: 6.65 states/eV per cell
data_Pm2ScS3
_cell_length_a 3.768
_cell_length_b 4.726
_cell_length_c 15.172
_cell_angle_alpha 90.00
_cell_angle_beta 90.00
_cell_angle_gamma 90.00
_space_group_name_H-M_alt 'I m m m'
_space_group_IT_number 71
_space_group_name_Hall '-I 2 2'
loop_
_atom_site_label
_atom_site_fract_x
_atom_site_fract_y
_atom_site_fract_z
Pm1 0.000 0.000 0.145
Sc1 0.000 0.000 0.500
S1 0.000 0.000 0.331
S2 0.000 0.500 0.500

2.
# PmSc2S4, relaxed, DFT PBE-GGA
# * density of states at the Fermi level: 8.61 states/eV per cell
data_PmSc2S4
_cell_length_a 3.749
_cell_length_b 12.248
_cell_length_c 12.728
_cell_angle_alpha 90.00
_cell_angle_beta 90.00
_cell_angle_gamma 90.00
_space_group_name_H-M_alt 'C m c m'
_space_group_IT_number 63
_space_group_name_Hall '-C 2c 2'
loop_
_atom_site_label
_atom_site_fract_x
_atom_site_fract_y
_atom_site_fract_z
Pm1 0.000 0.121 0.250
Sc1 0.000 0.371 0.064
S1 0.000 0.000 0.000
S2 0.000 0.271 0.616
S3 0.000 0.451 0.250

3.
# Pm2ScS3, relaxed, DFT PBE-GGA
# * density of states at the Fermi level: 3.17 states/eV per cell
data_Pm2ScS3
_cell_length_a 3.9079
_cell_length_b 3.9079
_cell_length_c 9.6798
_cell_angle_alpha 90.00
_cell_angle_beta 90.00
_cell_angle_gamma 120.00
_space_group_name_H-M_alt 'P -3 m 1'
_space_group_IT_number 164
_space_group_name_Hall '-P 3 2"'
loop_
_atom_site_label
_atom_site_fract_x
_atom_site_fract_y
_atom_site_fract_z
Pm1 0.3333 0.6667 0.1750
Sc1 0.0000 0.0000 0.5000
S1 0.0000 0.0000 0.0000
S2 0.3333 0.6667 0.6441

4.
# Pm5ScS6, relaxed, DFT PBE-GGA
# * density of states at the Fermi level: 10.73 states/eV per cell
data_Pm5ScS6
_cell_length_a 6.886
_cell_length_b 11.953
_cell_length_c 6.902
_cell_angle_alpha 90.00
_cell_angle_beta 109.51
_cell_angle_gamma 90.00
_space_group_name_H-M_alt 'C 1 2/m 1'
_space_group_IT_number 12
loop_
_space_group_symop_operation_xyz
'x,y,z'
'-x,-y,-z'
'-x,y,-z'
'x,-y,z'
'x+1/2,y+1/2,z'
'-x+1/2,-y+1/2,-z'
'-x+1/2,y+1/2,-z'
'x+1/2,-y+1/2,z'
loop_
_atom_site_label
_atom_site_fract_x
_atom_site_fract_y
_atom_site_fract_z
Pm1 0.000 0.000 0.000
Pm2 0.000 0.167 0.500
Pm3 0.000 0.328 0.000
Sc1 0.000 0.500 0.500
S1 0.236 0.500 0.256
S2 0.238 0.341 0.739

5.
# Pm4ScS7, relaxed, DFT PBE-GGA
# * density of states at the Fermi level: 2.62 states/eV per cell
data_Pm4ScS7
_cell_length_a 12.971
_cell_length_b 3.874
_cell_length_c 11.713
_cell_angle_alpha 90.00
_cell_angle_beta 105.19
_cell_angle_gamma 90.00
_space_group_name_H-M_alt 'C 1 m 1'
_space_group_IT_number 8
loop_
_space_group_symop_operation_xyz
'x,y,z'
'x,-y,z'
'x+1/2,y+1/2,z'
'x+1/2,-y+1/2,z'
loop_
_atom_site_label
_atom_site_fract_x
_atom_site_fract_y
_atom_site_fract_z
Pm1 0.000 0.000 0.000
Pm2 0.086 0.500 0.369
Pm3 0.192 0.000 0.765
Pm4 0.388 0.500 0.564
Sc1 0.277 0.500 0.146
S1 0.049 0.500 0.620
S2 0.135 0.500 0.933
S3 0.163 0.000 0.216
S4 0.225 0.000 0.516
S5 0.351 0.500 0.785
S6 0.380 0.000 0.077
S7 0.423 0.500 0.341

6.
# Pm3ScS6, relaxed, DFT PBE-GGA
# * density of states at the Fermi level: 0.00 states/eV per cell
data_Pm3ScS6
_cell_length_a 6.650
_cell_length_b 7.268
_cell_length_c 11.803
_cell_angle_alpha 90.00
_cell_angle_beta 122.46
_cell_angle_gamma 90.00
_space_group_name_H-M_alt 'P 1 21/c 1'
_space_group_IT_number 14
loop_
_space_group_symop_operation_xyz
'x,y,z'
'-x,-y,-z'
'-x,y+1/2,-z+1/2'
'x,-y+1/2,z+1/2'
loop_
_atom_site_label
_atom_site_fract_x
_atom_site_fract_y
_atom_site_fract_z
Pm1 0.000 0.000 0.000
Pm2 0.295 0.096 0.755
Sc1 0.500 0.000 0.500
S1 0.113 0.055 0.262
S2 0.267 0.679 0.076
S3 0.408 0.194 0.075

7.
# Pm4Sm3ScS8, relaxed, DFT PBE-GGA
# * density of states at the Fermi level: 27.58 states/eV per cell
data_Pm4Sm3ScS8
_cell_length_a 7.9685
_cell_length_b 7.9685
_cell_length_c 19.5694
_cell_angle_alpha 90.00
_cell_angle_beta 90.00
_cell_angle_gamma 120.00
_space_group_name_H-M_alt 'R -3 m'
_space_group_IT_number 166
_space_group_name_Hall '-R 3 2"'
loop_
_atom_site_label
_atom_site_fract_x
_atom_site_fract_y
_atom_site_fract_z
Pm1 0.0000 0.0000 0.0000
Pm2 0.0000 0.5000 0.0000
Sm1 0.0000 0.5000 0.5000
Sc1 0.0000 0.0000 0.5000
S1 0.0000 0.0000 0.2492
S2 0.0123 0.5062 0.2462

8.
# Pm3Sm2ScS6, relaxed, DFT PBE-GGA
# * density of states at the Fermi level: 11.13 states/eV per cell
data_Pm3Sm2ScS6
_cell_length_a 17.300
_cell_length_b 3.959
_cell_length_c 7.996
_cell_angle_alpha 90.00
_cell_angle_beta 103.51
_cell_angle_gamma 90.00
_space_group_name_H-M_alt 'C 1 2/m 1'
_space_group_IT_number 12
loop_
_space_group_symop_operation_xyz
'x,y,z'
'-x,-y,-z'
'-x,y,-z'
'x,-y,z'
'x+1/2,y+1/2,z'
'-x+1/2,-y+1/2,-z'
'-x+1/2,y+1/2,-z'
'x+1/2,-y+1/2,z'
loop_
_atom_site_label
_atom_site_fract_x
_atom_site_fract_y
_atom_site_fract_z
Pm1 0.000 0.000 0.000
Pm2 0.169 0.500 0.335
Sm1 0.166 0.500 0.833
Sc1 0.000 0.000 0.500
S1 0.001 0.500 0.269
S2 0.158 0.000 0.581
S3 0.167 0.000 0.082

9.
# Pm3Sm3ScS8, relaxed, DFT PBE-GGA
# * density of states at the Fermi level: 22.28 states/eV per cell
data_Pm3Sm3ScS8
_cell_length_a 7.9758
_cell_length_b 7.9758
_cell_length_c 19.5771
_cell_angle_alpha 90.00
_cell_angle_beta 90.00
_cell_angle_gamma 120.00
_space_group_name_H-M_alt 'R -3 m'
_space_group_IT_number 166
_space_group_name_Hall '-R 3 2"'
loop_
_atom_site_label
_atom_site_fract_x
_atom_site_fract_y
_atom_site_fract_z
Pm1 0.0000 0.5000 0.0000
Sm1 0.0000 0.5000 0.5000
Sc1 0.0000 0.0000 0.5000
S1 0.0000 0.0000 0.2493
S2 0.0160 0.5080 0.2453

10.
# Pm2SmScS6, relaxed, DFT PBE-GGA
# * density of states at the Fermi level: 0.00 states/eV per cell
data_Pm2SmScS6
_cell_length_a 6.9714
_cell_length_b 6.9714
_cell_length_c 18.3994
_cell_angle_alpha 90.00
_cell_angle_beta 90.00
_cell_angle_gamma 120.00
_space_group_name_H-M_alt 'R 3'
_space_group_IT_number 146
_space_group_name_Hall 'R 3'
loop_
_atom_site_label
_atom_site_fract_x
_atom_site_fract_y
_atom_site_fract_z
Pm1 0.0000 0.0000 0.0000
Pm2 0.0000 0.0000 0.4964
Sm1 0.0000 0.0000 0.2056
Sc1 0.0000 0.0000 0.7006
S1 0.0428 0.3426 0.7710
S2 0.0515 0.6793 0.2747

11.
# Pm3Sm4ScS8, relaxed, DFT PBE-GGA
# * density of states at the Fermi level: 28.06 states/eV per cell
data_Pm3Sm4ScS8
_cell_length_a 7.9764
_cell_length_b 7.9764
_cell_length_c 19.5040
_cell_angle_alpha 90.00
_cell_angle_beta 90.00
_cell_angle_gamma 120.00
_space_group_name_H-M_alt 'R -3 m'
_space_group_IT_number 166
_space_group_name_Hall '-R 3 2"'
loop_
_atom_site_label
_atom_site_fract_x
_atom_site_fract_y
_atom_site_fract_z
Pm1 0.0000 0.5000 0.0000
Sm1 0.0000 0.0000 0.5000
Sm2 0.0000 0.5000 0.5000
Sc1 0.0000 0.0000 0.0000
S1 0.0000 0.0000 0.2492
S2 0.0132 0.5066 0.7475

12.
# PmSm2ScS4, relaxed, DFT PBE-GGA
# * density of states at the Fermi level: 4.93 states/eV per cell
data_PmSm2ScS4
_cell_length_a 6.844
_cell_length_b 3.905
_cell_length_c 6.871
_cell_angle_alpha 90.00
_cell_angle_beta 108.99
_cell_angle_gamma 90.00
_space_group_name_H-M_alt 'P 1 2/m 1'
_space_group_IT_number 10
loop_
_space_group_symop_operation_xyz
'x,y,z'
'-x,-y,-z'
'-x,y,-z'
'x,-y,z'
loop_
_atom_site_label
_atom_site_fract_x
_atom_site_fract_y
_atom_site_fract_z
Pm1 0.000 0.000 0.000
Sm1 0.500 0.000 0.500
Sm2 0.500 0.500 0.000
Sc1 0.000 0.500 0.500
S1 0.233 0.000 0.732
S2 0.243 0.500 0.260

| no. | calculated volume (Å³/atom) | formation energy (no corrections) (meV per atom) |
| --- | --- | --- |
| 1 | 22.51 | -1771 |
| 2 | 20.87 | -1986 |
| 3 | 21.34 | -1958 |
| 4 | 22.31 | -1988 |
| 5 | 23.66 | -2032 |
| 6 | 24.06 | -1993 |
| 7 | 22.42 | -1988 |
| 8 | 22.19 | -1983 |
| 9 | 23.97 | -2038 |
| 10 | 25.81 | -1976 |
| 11 | 22.39 | -1984 |
| 12 | 21.70 | -1955 |